The following is a PBE-GGA calculation of a relaxed Cr2CoHg crystal, from Alexandria.

Energy of formation from the pure elements, meV per atom: 659
Total DFT energy (no corrections), eV per atom: -6.01
Total magnetic moment, μB per cell: 0.68

abc: 2.7027 2.7027 26.4158
angles: 90.00 90.00 120.00
Space group R-3m (No. 166, hexagonal axes)
Unique sites:
Cr 0.0000 0.0000 0.2395
Co 0.0000 0.0000 0.5000
Hg 0.0000 0.0000 0.0000